[1]
Computed, not measured: a geometry-optimized Sm2PaSn structure at the PBE level of DFT.

Cell: 4.8967 4.8967 4.6043 Å, 90.00 90.00 90.00°
Closest atoms and distances in Å follow each position.
Space group P4/mmm (No. 123)
Unique sites:
Sm 0.0000 0.5000 0.0000 (multiplicity 2)  4 Sn 3.36, 4 Pa 3.36, 4 Sm 3.46
Pa 0.0000 0.0000 0.5000 (multiplicity 1)  8 Sm 3.36, 4 Sn 3.46
Sn 0.5000 0.5000 0.5000 (multiplicity 1)  8 Sm 3.36, 4 Pa 3.46

Properties
ΔE_f   -0.204 eV per atom
Energy above the most stable polymorph in this dataset   0.00 eV/f.u.



[2]
Computed, not measured: a geometry-optimized SmPaSn6 structure at the PBE level of DFT.

Cell: 4.6803 4.6803 9.4355 Å, 90.00 90.00 90.00°
Closest atoms and distances in Å follow each position.
Space group P4/mmm (No. 123)
Unique sites:
Sm 0.0000 0.0000 0.0000 (multiplicity 1)  12 Sn 3.31-3.35
Pa 0.0000 0.0000 0.5000 (multiplicity 1)  12 Sn 3.29-3.31
Sn 0.0000 0.5000 0.2542 (multiplicity 4)  8 Sn 3.29-3.35, 2 Pa 3.29, 2 Sm 3.35
Sn 0.5000 0.5000 0.0000 (multiplicity 1)  4 Sm 3.31, 8 Sn 3.35
Sn 0.5000 0.5000 0.5000 (multiplicity 1)  8 Sn 3.29, 4 Pa 3.31

Properties
ΔE_f   -0.378 eV per atom



[3]
Computed, not measured: a geometry-optimized Sm2PaSn structure at the PBE level of DFT.

Cell: 3.4409 3.4409 35.8231 Å, 90.00 90.00 120.00°
Closest atoms and distances in Å follow each position.
Space group R-3m (No. 166, hexagonal axes)
Unique sites:
Sm 0.0000 0.0000 0.0892 (multiplicity 6)  1 Sn 3.20, 3 Pa 3.41, 6 Sm 3.44
Pa 0.0000 0.0000 0.5000 (multiplicity 3)  6 Sm 3.41, 6 Pa 3.44
Sn 0.0000 0.0000 0.0000 (multiplicity 3)  2 Sm 3.20, 6 Sn 3.44

Properties
ΔE_f   0.151 eV per atom
Energy above the most stable polymorph in this dataset   1.42 eV/f.u.



[4]
Computed, not measured: a geometry-optimized Sm2PaSn structure at the PBE level of DFT.

Cell: 3.9249 3.9249 7.2578 Å, 90.00 90.00 90.00°
Closest atoms and distances in Å follow each position.
Space group P4/mmm (No. 123)
Unique sites:
Sm 0.0000 0.0000 0.2314 (multiplicity 2)  4 Sn 3.24, 1 Sm 3.36, 4 Pa 3.39
Pa 0.5000 0.5000 0.5000 (multiplicity 1)  8 Sm 3.39, 2 Sn 3.63
Sn 0.5000 0.5000 0.0000 (multiplicity 1)  8 Sm 3.24, 2 Pa 3.63

Properties
ΔE_f   -0.145 eV per atom
Energy above the most stable polymorph in this dataset   0.24 eV/f.u.



[5]
Computed, not measured: a geometry-optimized SmPaZnSn structure at the PBE level of DFT.

Cell: 7.4207 7.4207 7.4207 Å, 90.00 90.00 90.00°
Closest atoms and distances in Å follow each position.
Space group F-43m (No. 216)
Unique sites:
Sm 0.0000 0.0000 0.0000 (multiplicity 4)  4 Sn 3.21, 4 Zn 3.21
Pa 0.0000 0.0000 0.5000 (multiplicity 4)  4 Zn 3.21, 4 Sn 3.21
Zn 0.2500 0.2500 0.7500 (multiplicity 4)  4 Pa 3.21, 4 Sm 3.21
Sn 0.2500 0.2500 0.2500 (multiplicity 4)  4 Pa 3.21, 4 Sm 3.21

Properties
ΔE_f   -0.143 eV per atom



[6]
Computed, not measured: a geometry-optimized TbSm2Pa structure at the PBE level of DFT.

Cell: 3.4329 3.4329 10.3954 Å, 90.00 90.00 90.00°
Closest atoms and distances in Å follow each position.
Space group P4/mmm (No. 123)
Unique sites:
Tb 0.0000 0.0000 0.0000 (multiplicity 1)  4 Tb 3.43, 8 Sm 3.70
Sm 0.5000 0.5000 0.2682 (multiplicity 2)  4 Pa 3.42, 4 Sm 3.43, 4 Tb 3.70
Pa 0.0000 0.0000 0.5000 (multiplicity 1)  8 Sm 3.42, 4 Pa 3.43

Properties
ΔE_f   0.153 eV per atom
Energy above the most stable polymorph in this dataset   0.00 eV/f.u.



[7]
Computed, not measured: a geometry-optimized TbSmPa structure at the PBE level of DFT.

Cell: 4.0070 4.0070 11.2612 Å, 90.00 90.00 90.00°
Closest atoms and distances in Å follow each position.
Space group P4/nmm (No. 129, origin choice 2)
Unique sites:
Tb 0.2500 0.2500 0.2186 (multiplicity 2)  5 Pa 3.20-3.32, 4 Sm 3.48
Sm 0.2500 0.2500 0.6014 (multiplicity 2)  4 Tb 3.48, 4 Sm 3.64, 1 Pa 3.75
Pa 0.2500 0.2500 0.9343 (multiplicity 2)  4 Pa 3.20, 5 Tb 3.20-3.32

Properties
ΔE_f   0.199 eV per atom
Energy above the most stable polymorph in this dataset   0.16 eV/f.u.



[8]
Computed, not measured: a geometry-optimized TbSm2Pa structure at the PBE level of DFT.

Cell: 3.3652 3.3652 37.1539 Å, 90.00 90.00 120.00°
Closest atoms and distances in Å follow each position.
Space group R-3m (No. 166, hexagonal axes)
Unique sites:
Tb 0.0000 0.0000 0.0000 (multiplicity 3)  6 Tb 3.37, 6 Sm 3.55
Sm 0.0000 0.0000 0.4133 (multiplicity 6)  1 Pa 3.22, 6 Sm 3.37, 3 Tb 3.55
Pa 0.0000 0.0000 0.5000 (multiplicity 3)  2 Sm 3.22, 6 Pa 3.37

Properties
ΔE_f   0.301 eV per atom
Energy above the most stable polymorph in this dataset   0.59 eV/f.u.



[9]
Computed, not measured: a geometry-optimized TbSm2Pa structure at the PBE level of DFT.

Cell: 4.9786 4.9786 4.9485 Å, 90.00 90.00 90.00°
Closest atoms and distances in Å follow each position.
Space group P4/mmm (No. 123)
Unique sites:
Tb 0.0000 0.0000 0.0000 (multiplicity 1)  8 Sm 3.51, 4 Pa 3.52
Sm 0.0000 0.5000 0.5000 (multiplicity 2)  4 Tb 3.51, 4 Pa 3.51, 4 Sm 3.52
Pa 0.5000 0.5000 0.0000 (multiplicity 1)  8 Sm 3.51, 4 Tb 3.52

Properties
ΔE_f   0.247 eV per atom
Energy above the most stable polymorph in this dataset   0.38 eV/f.u.



[10]
Computed, not measured: a geometry-optimized TbSmPa structure at the PBE level of DFT.

Cell: 3.4060 3.4060 15.4478 Å, 90.00 90.00 90.00°
Closest atoms and distances in Å follow each position.
Space group I4mm (No. 107)
Unique sites:
Tb 0.0000 0.0000 0.0000 (multiplicity 2)  4 Pa 3.38, 4 Tb 3.41
Sm 0.0000 0.0000 0.6900 (multiplicity 2)  4 Sm 3.41, 4 Pa 3.41, 4 Tb 3.80
Pa 0.0000 0.0000 0.3463 (multiplicity 2)  4 Tb 3.38, 4 Pa 3.41, 4 Sm 3.41

Properties
ΔE_f   0.165 eV per atom
Energy above the most stable polymorph in this dataset   0.06 eV/f.u.



[11]
Computed, not measured: a geometry-optimized TbSmPa structure at the PBE level of DFT.

Cell: 3.4472 3.4472 8.6368 Å, 90.00 90.00 120.00°
Closest atoms and distances in Å follow each position.
Space group P3m1 (No. 156)
Unique sites:
Tb 0.0000 0.0000 0.0000 (multiplicity 1)  3 Pa 3.37, 6 Tb 3.45, 3 Sm 3.72
Sm 0.6667 0.3333 0.3645 (multiplicity 1)  3 Pa 3.41, 6 Sm 3.45, 3 Tb 3.72
Pa 0.3333 0.6667 0.6846 (multiplicity 1)  3 Tb 3.37, 3 Sm 3.41, 6 Pa 3.45

Properties
ΔE_f   0.145 eV per atom
Energy above the most stable polymorph in this dataset   0.00 eV/f.u.



[12]
Computed, not measured: a geometry-optimized Sm2PaTc2 structure at the PBE level of DFT.

Cell: 10.0341 6.0204 8.1295 Å, 90.00 100.59 90.00°
Closest atoms and distances in Å follow each position.
Space group C2/c (No. 15)
Unique sites:
Sm 0.1513 0.1209 0.1490 (multiplicity 8)  6 Tc 3.15-3.37, 2 Pa 3.44-3.50
Pa 0.0000 0.3868 0.7500 (multiplicity 4)  4 Tc 2.51-2.70
Tc 0.1280 0.3722 0.5128 (multiplicity 8)  2 Pa 2.51-2.70

Properties
ΔE_f   -0.187 eV per atom



[13]
Computed, not measured: a geometry-optimized SmPa2Tc structure at the PBE level of DFT.

Cell: 3.3401 3.3401 8.8336 Å, 90.00 90.00 90.00°
Closest atoms and distances in Å follow each position.
Space group P4/mmm (No. 123)
Unique sites:
Sm 0.0000 0.0000 0.0000 (multiplicity 1)  4 Sm 3.34, 8 Pa 3.55
Pa 0.5000 0.5000 0.3001 (multiplicity 2)  4 Tc 2.95
Tc 0.0000 0.0000 0.5000 (multiplicity 1)  8 Pa 2.95

Properties
ΔE_f   0.075 eV per atom
Energy above the most stable polymorph in this dataset   0.00 eV/f.u.



[14]
Computed, not measured: a geometry-optimized Sm3PaTc2 structure at the PBE level of DFT.

Cell: 17.6054 3.7920 12.1798 Å, 90.00 127.38 90.00°
Closest atoms and distances in Å follow each position.
Space group C2/m (No. 12)
Unique sites:
Sm 0.0449 0.0000 0.2763 (multiplicity 4)  3 Tc 3.09-3.13, 1 Sm 3.41
Sm 0.1183 0.5000 0.0349 (multiplicity 4)  3 Tc 2.95-3.24
Sm 0.2407 0.0000 0.6141 (multiplicity 4)  2 Tc 2.97
Pa 0.1384 0.5000 0.7410 (multiplicity 4)  3 Tc 2.41-2.60
Tc 0.0791 0.5000 0.5032 (multiplicity 4)  1 Pa 2.41
Tc 0.1787 0.0000 0.9154 (multiplicity 4)  2 Pa 2.60, 2 Tc 2.80

Properties
ΔE_f   0.033 eV per atom



[15]
Computed, not measured: a geometry-optimized SmPa2Tc structure at the PBE level of DFT.

Cell: 4.7375 4.7375 14.7135 Å, 90.00 90.00 120.00°
Closest atoms and distances in Å follow each position.
Space group R-3m (No. 166, hexagonal axes)
Unique sites:
Sm 0.0000 0.0000 0.0000 (multiplicity 3)  6 Pa 3.07
Pa 0.0000 0.0000 0.2389 (multiplicity 6)  3 Tc 2.93, 3 Sm 3.07
Tc 0.0000 0.0000 0.5000 (multiplicity 3)  6 Pa 2.93

Properties
ΔE_f   0.287 eV per atom
Energy above the most stable polymorph in this dataset   0.85 eV/f.u.



[16]
Computed, not measured: a geometry-optimized SmPa2Tc structure at the PBE level of DFT.

Cell: 5.2194 5.2194 3.3879 Å, 90.00 90.00 90.00°
Closest atoms and distances in Å follow each position.
Space group P4/mmm (No. 123)
Unique sites:
Sm 0.0000 0.0000 0.0000 (multiplicity 1)  8 Pa 3.11, 2 Sm 3.39
Pa 0.0000 0.5000 0.5000 (multiplicity 2)  4 Tc 3.11, 4 Sm 3.11, 2 Pa 3.39
Tc 0.5000 0.5000 0.0000 (multiplicity 1)  8 Pa 3.11, 2 Tc 3.39

Properties
ΔE_f   0.342 eV per atom
Energy above the most stable polymorph in this dataset   1.07 eV/f.u.



[17]
Computed, not measured: a geometry-optimized SmPa4Tc5 structure at the PBE level of DFT.

Cell: 3.4585 3.4585 17.3278 Å, 90.00 90.00 90.00°
Closest atoms and distances in Å follow each position.
Space group P4/mmm (No. 123)
Unique sites:
Sm 0.0000 0.0000 0.0000 (multiplicity 1)  8 Tc 3.24, 4 Sm 3.46, 2 Pa 3.49
Pa 0.0000 0.0000 0.2016 (multiplicity 2)  8 Tc 2.81-3.01
Pa 0.0000 0.0000 0.4021 (multiplicity 2)  8 Tc 2.98
Tc 0.5000 0.5000 0.1223 (multiplicity 2)  4 Pa 2.81, 1 Tc 3.14
Tc 0.5000 0.5000 0.3033 (multiplicity 2)  8 Pa 2.98-3.01, 1 Tc 3.14
Tc 0.5000 0.5000 0.5000 (multiplicity 1)  8 Pa 2.98

Properties
ΔE_f   -0.161 eV per atom



[18]
Computed, not measured: a geometry-optimized Sm3Pa2Tc4 structure at the PBE level of DFT.

Cell: 11.2047 4.3510 8.9730 Å, 90.00 102.09 90.00°
Closest atoms and distances in Å follow each position.
Space group C2/m (No. 12)
Unique sites:
Sm 0.0000 0.0000 0.0000 (multiplicity 2)  8 Tc 3.30-3.63
Sm 0.1250 0.5000 0.3845 (multiplicity 4)  6 Tc 3.02-3.25, 1 Pa 3.35
Pa 0.1732 0.5000 0.7783 (multiplicity 4)  5 Tc 2.60-2.79
Tc 0.0886 0.0000 0.6339 (multiplicity 4)  2 Pa 2.61, 2 Tc 2.78-2.85
Tc 0.2248 0.5000 0.0966 (multiplicity 4)  3 Pa 2.60-2.79, 3 Tc 2.85-2.91

Properties
ΔE_f   -0.154 eV per atom



[19]
Computed, not measured: a geometry-optimized Sm2ThPaTc2 structure at the PBE level of DFT.

Cell: 7.0765 13.4269 6.8834 Å, 90.00 90.00 90.00°
Closest atoms and distances in Å follow each position.
Space group Ibam (No. 72)
Unique sites:
Sm 0.2010 0.1938 0.0000 (multiplicity 8)  1 Tc 2.91
Th 0.0000 0.5000 0.2500 (multiplicity 4)  4 Tc 2.91
Pa 0.0000 0.0000 0.2500 (multiplicity 4)  4 Tc 2.64
Tc 0.2196 0.0933 0.5000 (multiplicity 8)  2 Pa 2.64, 2 Th 2.91, 1 Sm 2.91

Properties
ΔE_f   -0.067 eV per atom



[20]
Computed, not measured: a geometry-optimized SmPaZnTc structure at the PBE level of DFT.

Cell: 7.0320 7.0320 7.0320 Å, 90.00 90.00 90.00°
Closest atoms and distances in Å follow each position.
Space group F-43m (No. 216)
Unique sites:
Sm 0.0000 0.0000 0.0000 (multiplicity 4)  4 Tc 3.04, 4 Zn 3.04
Pa 0.0000 0.0000 0.5000 (multiplicity 4)  4 Tc 3.04, 4 Zn 3.04
Zn 0.2500 0.2500 0.2500 (multiplicity 4)  4 Pa 3.04, 4 Sm 3.04
Tc 0.2500 0.2500 0.7500 (multiplicity 4)  4 Pa 3.04, 4 Sm 3.04

Properties
ΔE_f   -0.011 eV per atom



[21]
Computed, not measured: a geometry-optimized Sm2PaTe structure at the PBE level of DFT.

Cell: 3.4460 3.4460 34.6513 Å, 90.00 90.00 120.00°
Closest atoms and distances in Å follow each position.
Space group R-3m (No. 166, hexagonal axes)
Unique sites:
Sm 0.0000 0.0000 0.0947 (multiplicity 6)  3 Te 3.19, 1 Pa 3.28, 6 Sm 3.45
Pa 0.0000 0.0000 0.0000 (multiplicity 3)  2 Sm 3.28, 6 Pa 3.45
Te 0.0000 0.0000 0.5000 (multiplicity 3)  6 Sm 3.19, 6 Te 3.45

Properties
Formation energy from raw total energies   0.04 eV/atom



[22]
Computed, not measured: a geometry-optimized SmPaTe2 structure at the PBE level of DFT.

Cell: 4.0028 4.0028 30.8071 Å, 90.00 90.00 120.00°
Closest atoms and distances in Å follow each position.
Space group R-3m (No. 166, hexagonal axes)
Unique sites:
Sm 0.0000 0.0000 0.0000 (multiplicity 3)  2 Te 3.08
Pa 0.0000 0.0000 0.5000 (multiplicity 3)  6 Te 3.09
Te 0.0000 0.0000 0.0999 (multiplicity 6)  1 Sm 3.08, 3 Pa 3.09

Properties
Formation energy from raw total energies   -0.53 eV/atom
Energy above the most stable polymorph in this dataset   1.67 eV/f.u.



[23]
Computed, not measured: a geometry-optimized Sm3PaTe4 structure at the PBE level of DFT.

Cell: 6.2464 6.2464 12.4925 Å, 90.00 90.00 90.00°
Closest atoms and distances in Å follow each position.
Space group I4/mmm (No. 139)
Unique sites:
Sm 0.0000 0.0000 0.0000 (multiplicity 2)  6 Te 3.12-3.14
Sm 0.0000 0.5000 0.2500 (multiplicity 4)  6 Te 3.12
Pa 0.0000 0.0000 0.5000 (multiplicity 2)  6 Te 3.10-3.12
Te 0.0000 0.0000 0.2517 (multiplicity 4)  1 Pa 3.10, 5 Sm 3.12-3.14
Te 0.0000 0.5000 0.0000 (multiplicity 4)  4 Sm 3.12, 2 Pa 3.12

Properties
Formation energy from raw total energies   -1.17 eV/atom



[24]
Computed, not measured: a geometry-optimized Sm2PaTe6 structure at the PBE level of DFT.

Cell: 7.3429 7.3429 13.4759 Å, 90.00 90.00 90.00°
Closest atoms and distances in Å follow each position.
Space group P4_2/mnm (No. 136)
Unique sites:
Sm 0.0000 0.0000 0.1668 (multiplicity 4)  6 Te 3.12-3.14
Pa 0.0000 0.0000 0.5000 (multiplicity 2)  6 Te 2.98-3.01
Te 0.1992 0.1992 0.3408 (multiplicity 8)  1 Pa 2.98, 2 Sm 3.12-3.13
Te 0.2104 0.2104 0.0000 (multiplicity 4)  1 Pa 3.01, 2 Sm 3.14

Properties
Formation energy from raw total energies   -0.95 eV/atom



[25]
Computed, not measured: a geometry-optimized Sm2PaTe5 structure at the PBE level of DFT.

Cell: 6.1805 14.4584 14.7562 Å, 90.00 90.00 90.00°
Closest atoms and distances in Å follow each position.
Space group Cmcm (No. 63)
Unique sites:
Sm 0.0000 0.1541 0.0560 (multiplicity 8)  6 Te 3.07-3.25
Pa 0.0000 0.2076 0.7500 (multiplicity 4)  6 Te 2.98-3.13
Te 0.0000 0.0468 0.6238 (multiplicity 8)  1 Pa 2.98, 2 Sm 3.07
Te 0.0000 0.2604 0.2500 (multiplicity 4)  2 Pa 3.12, 2 Sm 3.25
Te 0.0000 0.3298 0.5752 (multiplicity 8)  3 Sm 3.11-3.19, 1 Pa 3.13

Properties
Formation energy from raw total energies   -1.11 eV/atom



[26]
Computed, not measured: a geometry-optimized SmPaTe4 structure at the PBE level of DFT.

Cell: 10.2090 10.3562 4.5388 Å, 90.00 90.00 90.00°
Closest atoms and distances in Å follow each position.
Space group Cmmm (No. 65)
Unique sites:
Sm 0.0000 0.0000 0.0000 (multiplicity 2)  6 Te 3.11-3.19
Pa 0.0000 0.5000 0.5000 (multiplicity 2)  6 Te 2.98-3.02
Te 0.0000 0.3076 0.0000 (multiplicity 4)  2 Pa 3.02, 1 Sm 3.19
Te 0.2079 0.0000 0.5000 (multiplicity 4)  1 Pa 2.98, 2 Sm 3.11

Properties
Formation energy from raw total energies   -0.93 eV/atom
Energy above the most stable polymorph in this dataset   0.66 eV/f.u.



| no. | energy (eV/atom) |
| --- | --- |
| 1 | -5.938 |
| 2 | -5.157 |
| 3 | -5.583 |
| 4 | -5.879 |
| 5 | -5.016 |
| 6 | -5.738 |
| 7 | -6.083 |
| 8 | -5.590 |
| 9 | -5.644 |
| 10 | -6.117 |
| 11 | -6.137 |
| 12 | -8.121 |
| 13 | -8.444 |
| 14 | -7.364 |
| 15 | -8.232 |
| 16 | -8.177 |
| 17 | -9.615 |
| 18 | -8.444 |
| 19 | -7.915 |
| 20 | -6.475 |
| 21 | -5.481 |
| 22 | -5.652 |
| 23 | -5.699 |
| 24 | -5.153 |
| 25 | -5.443 |
| 26 | -5.392 |